# La4TbHg3

An optimized crystal structure of La4TbHg3 (PBE, Alexandria via LeMat-Bulk).

a b c (Å): 3.8123 5.6349 11.4745
angles (deg): 90.00 90.00 90.00
Last column: nearest neighbours and their distance in Å.
Fractional coordinates of all 8 atoms:
Tb  0.5000  0.5000  0.0000  8 La 3.40-3.57
La  0.0000  0.5000  0.7367  6 Hg 3.32-3.41, 2 Tb 3.57
La  0.0000  0.5000  0.2633  6 Hg 3.32-3.41, 2 Tb 3.57
La  0.0000  0.0000  0.5000  8 Hg 3.40-3.55
La  0.0000  0.0000  0.0000  4 Hg 3.34, 4 Tb 3.40
Hg  0.5000  0.0000  0.2393  8 La 3.34-3.55
Hg  0.5000  0.0000  0.7607  8 La 3.34-3.55
Hg  0.5000  0.5000  0.5000  8 La 3.32-3.40

- Energy relative to the elements: -0.33 eV per atom
- SG: Pmmm